VASP calculation (GGA-PBE) on Ca3YPa2As6 after structural relaxation.

Cell lengths 7.2355, 12.5294, 7.2429 Å; angles 90.00, 109.43, 90.00 degrees
Space group C2/m (No. 12)
One atom of each set of equivalent atoms:
Ca1 0.0000 0.0000 0.0000 (multiplicity 2)
Ca2 0.0000 0.3351 0.0000 (multiplicity 4)
Y1 0.0000 0.5000 0.5000 (multiplicity 2)
Pa1 0.0000 0.1669 0.5000 (multiplicity 4)
As1 0.2374 0.0000 0.7337 (multiplicity 4)
As2 0.2480 0.3297 0.7329 (multiplicity 8)

Summary:
- Formation enthalpy at 0 K: -1.25 eV per atom
- Spin magnetization: 0.023 μB per atom